Entry 1:
Density functional theory data (GGA-PBE) for crystalline SbHBr4 at its relaxed geometry.

Cell: 6.5950 7.6663 10.5043 Å, 78.92 72.18 86.06°
Positions (direct):
Sb (0.0845, 0.2774, 0.3885)
Sb (0.9155, 0.7226, 0.6115)
H (0.2929, 0.7103, 0.8319)
H (0.7071, 0.2897, 0.1681)
Br (0.0876, 0.8041, 0.8676)
Br (0.1943, 0.3481, 0.5915)
Br (0.2941, 0.9772, 0.3794)
Br (0.3913, 0.4578, 0.2027)
Br (0.6087, 0.5422, 0.7973)
Br (0.7059, 0.0228, 0.6206)
Br (0.8057, 0.6519, 0.4085)
Br (0.9124, 0.1959, 0.1324)

Output
Total magnetic moment ... 0.00 μB/cell
E_tot ... -34.15 eV per cell


Entry 2:
Density functional theory data (GGA-PBE) for crystalline Rb3Tb2SmS6 at its relaxed geometry.

Cell: 7.1408 7.1408 8.0598 Å, 98.49 98.49 120.00°
Positions (direct):
Rb (0.0000, 0.0000, 0.0000)
Rb (0.3338, 0.6662, 0.0000)
Rb (0.6662, 0.3338, 0.0000)
Tb (0.1667, 0.8333, 0.5000)
Tb (0.8333, 0.1667, 0.5000)
Sm (0.5000, 0.5000, 0.5000)
S (0.0980, 0.4355, 0.3065)
S (0.2270, 0.2270, 0.6935)
S (0.4355, 0.0980, 0.3065)
S (0.5645, 0.9020, 0.6935)
S (0.7730, 0.7730, 0.3065)
S (0.9020, 0.5645, 0.6935)

Output
Total magnetic moment ... 0.00 μB/cell
E_tot ... -63.83 eV per cell
Formation energy without anion corrections ... -1.849 eV/atom


Entry 3:
Density functional theory data (GGA-PBE) for crystalline Cr2ReTe at its relaxed geometry.

Cell: 4.7640 4.7640 4.7640 Å, 130.56 130.56 72.51°
Positions (direct):
Cr (0.2500, 0.7500, 0.5000)
Cr (0.7500, 0.2500, 0.5000)
Re (0.0000, 0.0000, 0.0000)
Te (0.5000, 0.5000, 0.0000)

Output
Total magnetic moment ... 4.09 μB/cell
E_tot ... -32.53 eV per cell
Formation energy without anion corrections ... 0.577 eV/atom


Entry 4:
Density functional theory data (GGA-PBE) for crystalline Ac2La4Nd at its relaxed geometry.

Cell: 10.1664 10.1664 10.1664 Å, 146.77 146.77 47.70°
Positions (direct):
Ac (0.1256, 0.1256, 0.0000)
Ac (0.8744, 0.8744, 0.0000)
La (0.0000, 0.5000, 0.5000)
La (0.3246, 0.3246, 0.0000)
La (0.5000, 0.0000, 0.5000)
La (0.6754, 0.6754, 0.0000)
Nd (0.5000, 0.5000, 0.0000)

Output
Total magnetic moment ... 0.56 μB/cell
E_tot ... -29.10 eV per cell
DFT formation energy ... 0.5134 eV per atom
Relative energy among the computed polymorphs ... 493 meV/atom


Entry 5:
Density functional theory data (GGA-PBE) for crystalline Pa2BeGe at its relaxed geometry.

Cell: 11.0756 11.0756 11.0756 Å, 15.77 15.77 15.77°
Positions (direct):
Pa (0.0888, 0.0888, 0.0888)
Pa (0.9112, 0.9112, 0.9112)
Be (0.0000, 0.0000, 0.0000)
Ge (0.5000, 0.5000, 0.5000)

Output
Total magnetic moment ... 0.01 μB/cell
E_tot ... -25.01 eV per cell
DFT formation energy ... 0.5817 eV per atom
Relative energy among the computed polymorphs ... 657 meV/atom


Entry 6:
Density functional theory data (GGA-PBE) for crystalline TaHgW2 at its relaxed geometry.

Cell: 4.9276 4.9276 4.9276 Å, 129.30 129.30 74.52°
Positions (direct):
Ta (0.0000, 0.0000, 0.0000)
Hg (0.7500, 0.2500, 0.5000)
W (0.2500, 0.7500, 0.5000)
W (0.5000, 0.5000, 0.0000)

Output
Total magnetic moment ... 0.00 μB/cell
E_tot ... -36.03 eV per cell
DFT formation energy ... 0.5088 eV per atom


Entry 7:
Density functional theory data (GGA-PBE) for crystalline Sm4Co3Pd at its relaxed geometry.

Cell: 4.0199 4.0312 10.8282 Å, 90.00 90.00 90.00°
Positions (direct):
Sm (0.0000, 0.0000, 0.0000)
Sm (0.0000, 0.5000, 0.4880)
Sm (0.5000, 0.0000, 0.7115)
Sm (0.5000, 0.5000, 0.2085)
Co (0.0000, 0.0000, 0.3002)
Co (0.5000, 0.0000, 0.4066)
Co (0.5000, 0.5000, 0.9371)
Pd (0.0000, 0.5000, 0.7797)

Output
Total magnetic moment ... 1.02 μB/cell
E_tot ... -47.47 eV per cell
DFT formation energy ... -0.2605 eV per atom


Entry 8:
Density functional theory data (GGA-PBE) for crystalline CrN3Cl at its relaxed geometry.

Cell: 3.7640 3.7640 3.7640 Å, 90.00 90.00 90.00°
Positions (direct):
Cr (0.0000, 0.0000, 0.0000)
N (0.0000, 0.0000, 0.5000)
N (0.0000, 0.5000, 0.0000)
N (0.5000, 0.0000, 0.0000)
Cl (0.5000, 0.5000, 0.5000)

Output
Total magnetic moment ... 0.00 μB/cell
E_tot ... -29.74 eV per cell
Formation energy without anion corrections ... 1.342 eV/atom


Entry 9:
Density functional theory data (GGA-PBE) for crystalline CuGe2P3 at its relaxed geometry.

Cell: 3.6541 3.7011 9.1531 Å, 90.00 90.00 90.00°
Positions (direct):
Cu (0.0000, 0.0000, 0.0000)
Ge (0.0000, 0.0000, 0.6520)
Ge (0.5000, 0.5000, 0.3104)
P (0.0000, 0.5000, 0.4739)
P (0.5000, 0.0000, 0.1510)
P (0.5000, 0.0000, 0.8304)

Output
Total magnetic moment ... 0.00 μB/cell
E_tot ... -28.43 eV per cell
DFT formation energy ... 0.1891 eV per atom


Entry 10:
Density functional theory data (GGA-PBE) for crystalline V2Re2Tc at its relaxed geometry.

Cell: 6.2979 6.2979 6.2979 Å, 137.61 84.34 111.10°
Positions (direct):
V (0.1649, 0.0420, 0.1229)
V (0.4191, 0.0420, 0.3771)
V (0.5809, 0.9580, 0.6229)
V (0.8351, 0.9580, 0.8771)
Re (0.0992, 0.6630, 0.4361)
Re (0.2731, 0.3370, 0.9361)
Re (0.7269, 0.6630, 0.0639)
Re (0.9008, 0.3370, 0.5639)
Tc (0.3638, 0.6138, 0.7500)
Tc (0.6362, 0.3862, 0.2500)

Output
Total magnetic moment ... 0.00 μB/cell
E_tot ... -104.80 eV per cell
DFT formation energy ... 0.2200 eV per atom


Entry 11:
Density functional theory data (GGA-PBE) for crystalline PrY2OsO8 at its relaxed geometry.

Cell: 5.0918 5.0918 6.9206 Å, 90.00 90.00 90.59°
Positions (direct):
Pr (0.0000, 0.0000, 0.0000)
Y (0.5000, 0.5000, 0.2480)
Y (0.5000, 0.5000, 0.7520)
Os (0.0000, 0.0000, 0.5000)
O (0.1856, 0.1856, 0.2986)
O (0.1856, 0.1856, 0.7014)
O (0.2609, 0.7391, 0.5000)
O (0.3164, 0.6836, 0.0000)
O (0.6836, 0.3164, 0.0000)
O (0.7391, 0.2609, 0.5000)
O (0.8144, 0.8144, 0.2986)
O (0.8144, 0.8144, 0.7014)

Output
Total magnetic moment ... 1.04 μB/cell
E_tot ... -98.25 eV per cell
Formation energy without anion corrections ... -2.471 eV/atom


Entry 12:
Density functional theory data (GGA-PBE) for crystalline LiPuBi at its relaxed geometry.

Cell: 4.7905 4.7905 3.8593 Å, 90.00 90.00 120.00°
Positions (direct):
Li (0.0000, 0.0000, 0.0000)
Pu (0.6667, 0.3333, 0.5011)
Bi (0.3333, 0.6667, 0.0016)

Output
Total magnetic moment ... 6.29 μB/cell
E_tot ... -21.10 eV per cell
DFT formation energy ... -0.3257 eV per atom
Relative energy among the computed polymorphs ... 110 meV/atom


Entry 13:
Density functional theory data (GGA-PBE) for crystalline Zn6CoCu5 at its relaxed geometry.

Cell: 7.1693 7.1693 4.1240 Å, 105.56 105.56 49.75°
Positions (direct):
Zn (0.0827, 0.5911, 0.3391)
Zn (0.2426, 0.7574, 0.0000)
Zn (0.4089, 0.9173, 0.6609)
Zn (0.5911, 0.0827, 0.3391)
Zn (0.7574, 0.2426, 0.0000)
Zn (0.9173, 0.4089, 0.6609)
Co (0.0000, 0.0000, 0.5000)
Cu (0.1700, 0.1700, 0.1676)
Cu (0.3317, 0.3317, 0.8351)
Cu (0.5000, 0.5000, 0.5000)
Cu (0.6683, 0.6683, 0.1649)
Cu (0.8300, 0.8300, 0.8324)

Output
Total magnetic moment ... 0.85 μB/cell
E_tot ... -36.04 eV per cell
DFT formation energy ... -0.0678 eV per atom


Entry 14:
Density functional theory data (GGA-PBE) for crystalline TcNiPb at its relaxed geometry.

Cell: 4.2930 4.2930 4.2930 Å, 60.00 60.00 60.00°
Positions (direct):
Tc (0.0000, 0.0000, 0.0000)
Ni (0.7500, 0.7500, 0.7500)
Pb (0.5000, 0.5000, 0.5000)

Output
Total magnetic moment ... 2.96 μB/cell
E_tot ... -18.13 eV per cell
DFT formation energy ... 0.5738 eV per atom
Relative energy among the computed polymorphs ... 22 meV/atom


Entry 15:
Density functional theory data (GGA-PBE) for crystalline Y3Al2Cd2 at its relaxed geometry.

Cell: 11.1633 11.1633 3.5271 Å, 90.00 90.00 157.26°
Positions (direct):
Y (0.0000, 0.0000, 0.0000)
Y (0.1623, 0.8377, 0.0000)
Y (0.8377, 0.1623, 0.0000)
Al (0.2820, 0.7180, 0.5000)
Al (0.7180, 0.2820, 0.5000)
Cd (0.4198, 0.5802, 0.5000)
Cd (0.5802, 0.4198, 0.5000)

Output
Total magnetic moment ... 0.00 μB/cell
E_tot ... -31.47 eV per cell
DFT formation energy ... -0.3940 eV per atom


Entry 16:
Density functional theory data (GGA-PBE) for crystalline ErScCuAg at its relaxed geometry.

Cell: 3.4250 3.4250 6.9181 Å, 90.00 90.00 90.00°
Positions (direct):
Er (0.0000, 0.0000, 0.0000)
Sc (0.0000, 0.0000, 0.5289)
Cu (0.5000, 0.5000, 0.7431)
Ag (0.5000, 0.5000, 0.2841)

Output
Total magnetic moment ... 0.00 μB/cell
E_tot ... -18.95 eV per cell
DFT formation energy ... -0.2780 eV per atom
Relative energy among the computed polymorphs ... 0 meV/atom


Entry 17:
Density functional theory data (GGA-PBE) for crystalline Cs2HgSe2 at its relaxed geometry.

Cell: 11.8011 11.8011 11.8011 Å, 159.29 159.29 29.45°
Positions (direct):
Cs (0.1278, 0.1278, 0.0000)
Cs (0.8722, 0.8722, 0.0000)
Hg (0.5000, 0.5000, 0.0000)
Se (0.2500, 0.7500, 0.5000)
Se (0.7500, 0.2500, 0.5000)

Output
Total magnetic moment ... 0.00 μB/cell
E_tot ... -11.10 eV per cell
Formation energy without anion corrections ... -0.424 eV/atom
Relative energy among the computed polymorphs ... 475 meV/atom


Entry 18:
Density functional theory data (GGA-PBE) for crystalline SrLiMg14 at its relaxed geometry.

Cell: 6.5524 6.5524 10.5785 Å, 90.00 90.00 120.00°
Positions (direct):
Sr (0.0000, 0.0000, 0.0000)
Li (0.0000, 0.0000, 0.5000)
Mg (0.0121, 0.5060, 0.0000)
Mg (0.1689, 0.3379, 0.2623)
Mg (0.1689, 0.3379, 0.7377)
Mg (0.1689, 0.8311, 0.2623)
Mg (0.1689, 0.8311, 0.7377)
Mg (0.4940, 0.5060, 0.0000)
Mg (0.4940, 0.9879, 0.0000)
Mg (0.5022, 0.0043, 0.5000)
Mg (0.5022, 0.4978, 0.5000)
Mg (0.6621, 0.8311, 0.2623)
Mg (0.6621, 0.8311, 0.7377)
Mg (0.6667, 0.3333, 0.2404)
Mg (0.6667, 0.3333, 0.7596)
Mg (0.9957, 0.4978, 0.5000)

Output
Total magnetic moment ... 0.00 μB/cell
E_tot ... -25.50 eV per cell
DFT formation energy ... 0.0262 eV per atom
Relative energy among the computed polymorphs ... 0 meV/atom


Entry 19:
Density functional theory data (GGA-PBE) for crystalline FeOsAu2 at its relaxed geometry.

Cell: 5.6913 5.6913 5.6913 Å, 101.89 101.89 126.02°
Positions (direct):
Fe (0.0000, 0.0000, 0.0000)
Fe (0.7500, 0.2500, 0.5000)
Os (0.2500, 0.7500, 0.5000)
Os (0.5000, 0.5000, 0.0000)
Au (0.1071, 0.6250, 0.9821)
Au (0.3750, 0.3571, 0.4821)
Au (0.6429, 0.1250, 0.0179)
Au (0.8750, 0.8929, 0.5179)

Output
Total magnetic moment ... 0.74 μB/cell
E_tot ... -42.97 eV per cell
DFT formation energy ... 1.1901 eV per atom
Relative energy among the computed polymorphs ... 942 meV/atom


Entry 20:
Density functional theory data (GGA-PBE) for crystalline CsMgSbI2 at its relaxed geometry.

Cell: 7.2243 7.2243 7.3636 Å, 90.00 90.00 90.00°
Positions (direct):
Cs (0.0000, 0.0000, 0.0000)
Mg (0.5000, 0.5000, 0.5000)
Sb (0.0000, 0.0000, 0.5000)
I (0.0000, 0.5000, 0.0000)
I (0.5000, 0.0000, 0.0000)

Output
Total magnetic moment ... 1.91 μB/cell
E_tot ... -7.86 eV per cell
Formation energy without anion corrections ... 0.362 eV/atom
Relative energy among the computed polymorphs ... 983 meV/atom


Entry 21:
Density functional theory data (GGA-PBE) for crystalline Pr2Dy5Er6 at its relaxed geometry.

Cell: 11.6702 20.1692 3.5679 Å, 90.00 90.00 90.00°
Positions (direct):
Pr (0.1676, 0.2173, 0.0000)
Pr (0.3324, 0.7173, 0.0000)
Pr (0.6676, 0.2827, 0.0000)
Pr (0.8324, 0.7827, 0.0000)
Dy (0.0000, 0.5000, 0.5000)
Dy (0.0930, 0.7792, 0.5000)
Dy (0.2004, 0.0513, 0.5000)
Dy (0.2996, 0.5513, 0.5000)
Dy (0.4070, 0.2792, 0.5000)
Dy (0.5000, 0.0000, 0.5000)
Dy (0.5930, 0.7208, 0.5000)
Dy (0.7004, 0.4487, 0.5000)
Dy (0.7996, 0.9487, 0.5000)
Dy (0.9070, 0.2208, 0.5000)
Er (0.0592, 0.9229, 0.0000)
Er (0.0775, 0.6351, 0.0000)
Er (0.1801, 0.3748, 0.5000)
Er (0.3199, 0.8748, 0.5000)
Er (0.4225, 0.1351, 0.0000)
Er (0.4408, 0.4229, 0.0000)
Er (0.5592, 0.5771, 0.0000)
Er (0.5775, 0.8649, 0.0000)
Er (0.6801, 0.1252, 0.5000)
Er (0.8199, 0.6252, 0.5000)
Er (0.9225, 0.3649, 0.0000)
Er (0.9408, 0.0771, 0.0000)

Output
Total magnetic moment ... 0.00 μB/cell
E_tot ... -117.25 eV per cell
DFT formation energy ... 0.1015 eV per atom


Entry 22:
Density functional theory data (GGA-PBE) for crystalline KRb2BiCl at its relaxed geometry.

Cell: 6.2644 6.2644 5.9722 Å, 90.00 90.00 90.00°
Positions (direct):
K (0.0000, 0.0000, 0.0000)
Rb (0.0000, 0.5000, 0.5000)
Rb (0.5000, 0.0000, 0.5000)
Bi (0.5000, 0.5000, 0.0000)
Cl (0.0000, 0.0000, 0.5000)

Output
Total magnetic moment ... 1.04 μB/cell
E_tot ... -12.94 eV per cell
Formation energy without anion corrections ... -0.837 eV/atom


Entry 23:
Density functional theory data (GGA-PBE) for crystalline DyPIO4 at its relaxed geometry.

Cell: 6.5135 6.5135 6.5523 Å, 99.03 99.03 57.15°
Positions (direct):
Dy (0.1963, 0.1963, 0.3197)
Dy (0.8037, 0.8037, 0.6803)
P (0.1347, 0.1347, 0.7555)
P (0.8653, 0.8653, 0.2445)
I (0.4621, 0.4621, 0.7957)
I (0.5379, 0.5379, 0.2043)
O (0.0007, 0.0007, 0.2707)
O (0.0172, 0.6240, 0.3640)
O (0.1931, 0.1931, 0.9847)
O (0.3760, 0.9828, 0.6360)
O (0.6240, 0.0172, 0.3640)
O (0.8069, 0.8069, 0.0153)
O (0.9828, 0.3760, 0.6360)
O (0.9993, 0.9993, 0.7293)

Output
Total magnetic moment ... 0.00 μB/cell
E_tot ... -96.59 eV per cell
Formation energy without anion corrections ... -2.414 eV/atom